1.
MgCdHgRh, optimized geometry, DFT PBE; DFT total energy = -11.08 eV/cell; total magnetic moment = 0.00 μB/f.u.; crystal system = tetragonal; space group = P4mm, No. 99
1.0
3.2749 0.0000 0.0000
0.0000 3.2749 0.0000
0.0000 0.0000 6.9977
Mg Cd Hg Rh
1 1 1 1
Direct
0.0000 0.0000 0.0000
0.0000 0.0000 0.4285
0.5000 0.5000 0.7288
0.5000 0.5000 0.1938

---

2.
Ca2TeAsPd6, optimized geometry, DFT PBE; total magnetic moment = 0.00 μB/f.u.; crystal system = orthorhombic; formation energy without anion corrections = -0.626 eV/atom; space group = Pmmn, No. 59
1.0
5.6096 0.0000 0.0000
0.0000 8.8776 0.0000
0.0000 0.0000 8.5480
Ca Te As Pd
4 2 2 12
Direct
0.2500 0.0039 0.2401
0.2500 0.4961 0.2401
0.7500 0.5039 0.7599
0.7500 0.9961 0.7599
0.2500 0.2500 0.7731
0.7500 0.7500 0.2269
0.2500 0.7500 0.7432
0.7500 0.2500 0.2568
0.0022 0.2500 0.4976
0.0027 0.7500 0.9740
0.2500 0.5015 0.6077
0.2500 0.9985 0.6077
0.4973 0.7500 0.9740
0.4978 0.2500 0.4976
0.5022 0.7500 0.5024
0.5027 0.2500 0.0260
0.7500 0.0015 0.3923
0.7500 0.4985 0.3923
0.9973 0.2500 0.0260
0.9978 0.7500 0.5024

---

3.
AcPrDyMg, optimized geometry, DFT PBE; DFT total energy = -15.17 eV/cell; total magnetic moment = 0.00 μB/f.u.; crystal system = tetragonal; space group = P4mm, No. 99
1.0
3.8476 0.0000 0.0000
0.0000 3.8476 0.0000
0.0000 0.0000 9.1021
Ac Pr Dy Mg
1 1 1 1
Direct
0.0000 0.0000 0.0000
0.5000 0.5000 0.7041
0.5000 0.5000 0.2810
0.0000 0.0000 0.4820

---

4.
Ce4Fe2I5, optimized geometry, DFT PBE; total magnetic moment = 2.87 μB/f.u.; crystal system = orthorhombic; formation energy without anion corrections = -0.758 eV/atom; space group = Immm, No. 71
1.0
-2.1663 4.4522 9.7023
2.1663 -4.4522 9.7023
2.1663 4.4522 -9.7023
Ce Fe I
4 2 5
Direct
0.1594 0.1594 0.0000
0.2081 0.5000 0.7081
0.7919 0.5000 0.2919
0.8406 0.8406 0.0000
0.0557 0.0557 0.0000
0.9443 0.9443 0.0000
0.1117 0.3333 0.7784
0.4451 0.6667 0.7784
0.5000 0.0000 0.5000
0.5549 0.3333 0.2216
0.8883 0.6667 0.2216

---

5.
TbAsRh3, optimized geometry, DFT PBE; DFT total energy = -69.04 eV/cell; total magnetic moment = 0.00 μB/f.u.; crystal system = orthorhombic; space group = Imma, No. 74
1.0
-2.7184 3.7923 4.2591
2.7184 -3.7923 4.2591
2.7184 3.7923 -4.2591
Tb As Rh
2 2 6
Direct
0.2550 0.0050 0.2500
0.7450 0.9950 0.7500
0.0000 0.5000 0.5000
0.5000 0.5000 0.0000
0.0712 0.3212 0.7500
0.3004 0.0000 0.8004
0.3004 0.5000 0.3004
0.6996 0.0000 0.1996
0.6996 0.5000 0.6996
0.9288 0.6788 0.2500

---

6.
CuTcP4, optimized geometry, DFT PBE; DFT total energy = -31.49 eV/cell; total magnetic moment = 0.00 μB/f.u.; crystal system = cubic; space group = F-43m, No. 216
1.0
0.0000 3.4707 3.4707
3.4707 0.0000 3.4707
3.4707 3.4707 0.0000
Cu Tc P
1 1 4
Direct
0.0000 0.0000 0.0000
0.2500 0.2500 0.2500
0.1238 0.6254 0.6254
0.6254 0.1238 0.6254
0.6254 0.6254 0.1238
0.6254 0.6254 0.6254

---

7.
Cd2FeAs, optimized geometry, DFT PBE; DFT total energy = -13.69 eV/cell; total magnetic moment = 2.65 μB/f.u.; crystal system = tetragonal; space group = I-4m2, No. 119
1.0
-2.0658 2.0658 4.3231
2.0658 -2.0658 4.3231
2.0658 2.0658 -4.3231
Cd Fe As
2 1 1
Direct
0.0000 0.0000 0.0000
0.7500 0.2500 0.5000
0.2500 0.7500 0.5000
0.5000 0.5000 0.0000

---

8.
ScIr2Rh, optimized geometry, DFT PBE; DFT total energy = -33.36 eV/cell; total magnetic moment = 0.00 μB/f.u.; crystal system = tetragonal; space group = I4/mmm, No. 139
1.0
-1.9711 1.9711 3.9723
1.9711 -1.9711 3.9723
1.9711 1.9711 -3.9723
Sc Ir Rh
1 2 1
Direct
0.0000 0.0000 0.0000
0.2500 0.7500 0.5000
0.7500 0.2500 0.5000
0.5000 0.5000 0.0000